## i
The following is a DFT calculation (PBE-GGA) of a geometry-optimized MgZrOsPb structure.

a b c (Å): 6.784 6.784 6.784
angles (deg): 90.00 90.00 90.00
Space group F-43m (No. 216)
Symmetry-distinct sites (fractional):
Mg1 0.000 0.000 0.000 [4 per cell]
Zr1 0.000 0.000 0.500 [4 per cell]
Os1 0.250 0.250 0.750 [4 per cell]
Pb1 0.250 0.250 0.250 [4 per cell]

## ii
The following is a DFT calculation (PBE-GGA) of a geometry-optimized MgZrOsPb structure.

a b c (Å): 6.742 6.742 6.742
angles (deg): 90.00 90.00 90.00
Space group F-43m (No. 216)
Symmetry-distinct sites (fractional):
Mg1 0.000 0.000 0.000 [4 per cell]
Zr1 0.250 0.250 0.750 [4 per cell]
Os1 0.250 0.250 0.250 [4 per cell]
Pb1 0.000 0.000 0.500 [4 per cell]

Name the least stable of them. ii.

## i
The following is a DFT calculation (PBE-GGA) of a geometry-optimized RbMgReOs structure.

a b c (Å): 6.815 6.815 6.815
angles (deg): 90.00 90.00 90.00
Space group F-43m (No. 216)
Symmetry-distinct sites (fractional):
Rb1 0.000 0.000 0.000 [4 per cell]
Mg1 0.000 0.000 0.500 [4 per cell]
Re1 0.250 0.250 0.250 [4 per cell]
Os1 0.250 0.250 0.750 [4 per cell]

## ii
The following is a DFT calculation (PBE-GGA) of a geometry-optimized RbMgReOs structure.

a b c (Å): 6.663 6.663 6.663
angles (deg): 90.00 90.00 90.00
Space group F-43m (No. 216)
Symmetry-distinct sites (fractional):
Rb1 0.000 0.000 0.000 [4 per cell]
Mg1 0.250 0.250 0.750 [4 per cell]
Re1 0.250 0.250 0.250 [4 per cell]
Os1 0.000 0.000 0.500 [4 per cell]

Name the least stable of them. i.

## i
The following is a DFT calculation (PBE-GGA) of a geometry-optimized MgScTaOs structure.

a b c (Å): 6.533 6.533 6.533
angles (deg): 90.00 90.00 90.00
Space group F-43m (No. 216)
Symmetry-distinct sites (fractional):
Mg1 0.000 0.000 0.000 [4 per cell]
Sc1 0.250 0.250 0.750 [4 per cell]
Ta1 0.250 0.250 0.250 [4 per cell]
Os1 0.000 0.000 0.500 [4 per cell]

## ii
The following is a DFT calculation (PBE-GGA) of a geometry-optimized MgScTaOs structure.

a b c (Å): 6.497 6.497 6.497
angles (deg): 90.00 90.00 90.00
Space group F-43m (No. 216)
Symmetry-distinct sites (fractional):
Mg1 0.000 0.000 0.000 [4 per cell]
Sc1 0.250 0.250 0.750 [4 per cell]
Ta1 0.000 0.000 0.500 [4 per cell]
Os1 0.250 0.250 0.250 [4 per cell]

Name the least stable of them. ii.

## i
The following is a DFT calculation (PBE-GGA) of a geometry-optimized SrMgTeOs structure.

a b c (Å): 7.259 7.259 7.259
angles (deg): 90.00 90.00 90.00
Space group F-43m (No. 216)
Symmetry-distinct sites (fractional):
Sr1 0.000 0.000 0.000 [4 per cell]
Mg1 0.000 0.000 0.500 [4 per cell]
Te1 0.250 0.250 0.750 [4 per cell]
Os1 0.250 0.250 0.250 [4 per cell]

## ii
The following is a DFT calculation (PBE-GGA) of a geometry-optimized SrMgTeOs structure.

a b c (Å): 7.027 7.027 7.027
angles (deg): 90.00 90.00 90.00
Space group F-43m (No. 216)
Symmetry-distinct sites (fractional):
Sr1 0.000 0.000 0.000 [4 per cell]
Mg1 0.250 0.250 0.250 [4 per cell]
Te1 0.250 0.250 0.750 [4 per cell]
Os1 0.000 0.000 0.500 [4 per cell]

Name the least stable of them. i.

## i
The following is a DFT calculation (PBE-GGA) of a geometry-optimized SrMgOsW structure.

a b c (Å): 6.769 6.769 6.769
angles (deg): 90.00 90.00 90.00
Space group F-43m (No. 216)
Symmetry-distinct sites (fractional):
Sr1 0.000 0.000 0.000 [4 per cell]
Mg1 0.250 0.250 0.750 [4 per cell]
Os1 0.250 0.250 0.250 [4 per cell]
W1 0.000 0.000 0.500 [4 per cell]

## ii
The following is a DFT calculation (PBE-GGA) of a geometry-optimized SrMgOsW structure.

a b c (Å): 6.833 6.833 6.833
angles (deg): 90.00 90.00 90.00
Space group F-43m (No. 216)
Symmetry-distinct sites (fractional):
Sr1 0.000 0.000 0.000 [4 per cell]
Mg1 0.000 0.000 0.500 [4 per cell]
Os1 0.250 0.250 0.750 [4 per cell]
W1 0.250 0.250 0.250 [4 per cell]

Name the least stable of them. ii.

## i
The following is a DFT calculation (PBE-GGA) of a geometry-optimized MgZnOsW structure.

a b c (Å): 6.217 6.217 6.217
angles (deg): 90.00 90.00 90.00
Space group F-43m (No. 216)
Symmetry-distinct sites (fractional):
Mg1 0.000 0.000 0.000 [4 per cell]
Zn1 0.000 0.000 0.500 [4 per cell]
Os1 0.250 0.250 0.750 [4 per cell]
W1 0.250 0.250 0.250 [4 per cell]

## ii
The following is a DFT calculation (PBE-GGA) of a geometry-optimized MgZnOsW structure.

a b c (Å): 6.230 6.230 6.230
angles (deg): 90.00 90.00 90.00
Space group F-43m (No. 216)
Symmetry-distinct sites (fractional):
Mg1 0.000 0.000 0.000 [4 per cell]
Zn1 0.250 0.250 0.750 [4 per cell]
Os1 0.250 0.250 0.250 [4 per cell]
W1 0.000 0.000 0.500 [4 per cell]

Name the least stable of them. i.

## i
The following is a DFT calculation (PBE-GGA) of a geometry-optimized MgPaTe structure.

a b c (Å): 7.255 7.255 7.255
angles (deg): 90.00 90.00 90.00
Space group F-43m (No. 216)
Symmetry-distinct sites (fractional):
Mg1 0.000 0.000 0.000 [4 per cell]
Pa1 0.250 0.250 0.250 [4 per cell]
Te1 0.000 0.000 0.500 [4 per cell]

## ii
The following is a DFT calculation (PBE-GGA) of a geometry-optimized MgPaTe structure.

a b c (Å): 7.069 7.069 7.069
angles (deg): 90.00 90.00 90.00
Space group F-43m (No. 216)
Symmetry-distinct sites (fractional):
Mg1 0.000 0.000 0.000 [4 per cell]
Pa1 0.000 0.000 0.500 [4 per cell]
Te1 0.250 0.250 0.250 [4 per cell]

Name the least stable of them. i.

## i
The following is a DFT calculation (PBE-GGA) of a geometry-optimized MgPaW structure.

a b c (Å): 6.642 6.642 6.642
angles (deg): 90.00 90.00 90.00
Space group F-43m (No. 216)
Symmetry-distinct sites (fractional):
Mg1 0.000 0.000 0.000 [4 per cell]
Pa1 0.250 0.250 0.250 [4 per cell]
W1 0.000 0.000 0.500 [4 per cell]

## ii
The following is a DFT calculation (PBE-GGA) of a geometry-optimized MgPaW structure.

a b c (Å): 6.479 6.479 6.479
angles (deg): 90.00 90.00 90.00
Space group F-43m (No. 216)
Symmetry-distinct sites (fractional):
Mg1 0.000 0.000 0.000 [4 per cell]
Pa1 0.250 0.250 0.750 [4 per cell]
W1 0.250 0.250 0.250 [4 per cell]

Name the least stable of them. i.

## i
The following is a DFT calculation (PBE-GGA) of a geometry-optimized SrMgPdPb structure.

a b c (Å): 7.253 7.253 7.253
angles (deg): 90.00 90.00 90.00
Space group F-43m (No. 216)
Symmetry-distinct sites (fractional):
Sr1 0.000 0.000 0.000 [4 per cell]
Mg1 0.250 0.250 0.250 [4 per cell]
Pd1 0.000 0.000 0.500 [4 per cell]
Pb1 0.250 0.250 0.750 [4 per cell]

## ii
The following is a DFT calculation (PBE-GGA) of a geometry-optimized SrMgPdPb structure.

a b c (Å): 7.292 7.292 7.292
angles (deg): 90.00 90.00 90.00
Space group F-43m (No. 216)
Symmetry-distinct sites (fractional):
Sr1 0.000 0.000 0.000 [4 per cell]
Mg1 0.250 0.250 0.250 [4 per cell]
Pd1 0.250 0.250 0.750 [4 per cell]
Pb1 0.000 0.000 0.500 [4 per cell]

## iii
The following is a DFT calculation (PBE-GGA) of a geometry-optimized SrMgPdPb structure.

a b c (Å): 7.372 7.372 7.372
angles (deg): 90.00 90.00 90.00
Space group F-43m (No. 216)
Symmetry-distinct sites (fractional):
Sr1 0.000 0.000 0.000 [4 per cell]
Mg1 0.000 0.000 0.500 [4 per cell]
Pd1 0.250 0.250 0.750 [4 per cell]
Pb1 0.250 0.250 0.250 [4 per cell]

Name the least stable of them. i.

## i
The following is a DFT calculation (PBE-GGA) of a geometry-optimized SrMgPtPb structure.

a b c (Å): 7.271 7.271 7.271
angles (deg): 90.00 90.00 90.00
Space group F-43m (No. 216)
Symmetry-distinct sites (fractional):
Sr1 0.000 0.000 0.000 [4 per cell]
Mg1 0.250 0.250 0.250 [4 per cell]
Pt1 0.250 0.250 0.750 [4 per cell]
Pb1 0.000 0.000 0.500 [4 per cell]

## ii
The following is a DFT calculation (PBE-GGA) of a geometry-optimized SrMgPtPb structure.

a b c (Å): 7.180 7.180 7.180
angles (deg): 90.00 90.00 90.00
Space group F-43m (No. 216)
Symmetry-distinct sites (fractional):
Sr1 0.000 0.000 0.000 [4 per cell]
Mg1 0.250 0.250 0.250 [4 per cell]
Pt1 0.000 0.000 0.500 [4 per cell]
Pb1 0.250 0.250 0.750 [4 per cell]

Name the least stable of them. i.

## i
The following is a DFT calculation (PBE-GGA) of a geometry-optimized MgTaTcPb structure.

a b c (Å): 6.658 6.658 6.658
angles (deg): 90.00 90.00 90.00
Space group F-43m (No. 216)
Symmetry-distinct sites (fractional):
Mg1 0.000 0.000 0.000 [4 per cell]
Ta1 0.250 0.250 0.750 [4 per cell]
Tc1 0.250 0.250 0.250 [4 per cell]
Pb1 0.000 0.000 0.500 [4 per cell]

## ii
The following is a DFT calculation (PBE-GGA) of a geometry-optimized MgTaTcPb structure.

a b c (Å): 6.606 6.606 6.606
angles (deg): 90.00 90.00 90.00
Space group F-43m (No. 216)
Symmetry-distinct sites (fractional):
Mg1 0.000 0.000 0.000 [4 per cell]
Ta1 0.250 0.250 0.750 [4 per cell]
Tc1 0.000 0.000 0.500 [4 per cell]
Pb1 0.250 0.250 0.250 [4 per cell]

## iii
The following is a DFT calculation (PBE-GGA) of a geometry-optimized MgTaTcPb structure.

a b c (Å): 6.659 6.659 6.659
angles (deg): 90.00 90.00 90.00
Space group F-43m (No. 216)
Symmetry-distinct sites (fractional):
Mg1 0.000 0.000 0.000 [4 per cell]
Ta1 0.000 0.000 0.500 [4 per cell]
Tc1 0.250 0.250 0.250 [4 per cell]
Pb1 0.250 0.250 0.750 [4 per cell]

Name the least stable of them. i.

## i
The following is a DFT calculation (PBE-GGA) of a geometry-optimized MgTePbW structure.

a b c (Å): 7.145 7.145 7.145
angles (deg): 90.00 90.00 90.00
Space group F-43m (No. 216)
Symmetry-distinct sites (fractional):
Mg1 0.000 0.000 0.000 [4 per cell]
Te1 0.000 0.000 0.500 [4 per cell]
Pb1 0.250 0.250 0.250 [4 per cell]
W1 0.250 0.250 0.750 [4 per cell]

## ii
The following is a DFT calculation (PBE-GGA) of a geometry-optimized MgTePbW structure.

a b c (Å): 6.982 6.982 6.982
angles (deg): 90.00 90.00 90.00
Space group F-43m (No. 216)
Symmetry-distinct sites (fractional):
Mg1 0.000 0.000 0.000 [4 per cell]
Te1 0.250 0.250 0.250 [4 per cell]
Pb1 0.250 0.250 0.750 [4 per cell]
W1 0.000 0.000 0.500 [4 per cell]

Name the least stable of them. i.